{"formula": "YAs2WF", "functional": "PBE+U", "state": "relaxed", "lattice_angstrom": [[4.776, 0.000, 0.000], [0.000, 4.776, 0.000], [0.000, 0.000, 5.740]], "species": ["Y", "As", "As", "W", "F"], "frac_coords": [[0.000, 0.000, 0.000], [0.000, 0.500, 0.500], [0.500, 0.000, 0.500], [0.000, 0.000, 0.500], [0.500, 0.500, 0.000]], "dos_ef_per_ev_fu": 2.6, "volume_a3_per_atom": 26.2, "sg": "P4/mmm, No. 123", "dft_energy_ev_per_atom": -5.07}